(1)
# LaU2Se6

An optimized crystal structure of LaU2Se6 (PBE, the Alexandria database).

Unit cell a=5.432 b=7.553 c=8.196 alpha=73.84 beta=70.65 gamma=68.92
Element x y z (fractional)
La  0.000  0.500  0.500
U  0.181  0.739  0.899
U  0.819  0.261  0.101
Se  0.736  0.643  0.885
Se  0.264  0.357  0.115
Se  0.959  0.863  0.218
Se  0.364  0.710  0.562
Se  0.041  0.137  0.782
Se  0.636  0.290  0.438

- calculated total energy (eV per atom) = -6.642

=====

(2)
# Nd2Th5C4

An optimized crystal structure of Nd2Th5C4 (PBE, the Alexandria database).

Unit cell a=3.609 b=8.828 c=9.473 alpha=59.98 beta=100.98 gamma=90.00
Element x y z (fractional)
Nd  0.361  0.815  0.722
Nd  0.639  0.185  0.278
Th  0.934  0.394  0.869
Th  0.066  0.606  0.131
Th  0.711  0.710  0.422
Th  0.500  0.000  0.000
Th  0.289  0.290  0.578
C  0.316  0.551  0.631
C  0.070  0.098  0.139
C  0.684  0.449  0.369
C  0.930  0.902  0.861

- formation enthalpy at 0 K (eV/atom) = -0.050
- calculated total energy (eV per atom) = -7.643

=====

(3)
# Nd2SmAg5

An optimized crystal structure of Nd2SmAg5 (PBE, the Alexandria database).

Unit cell a=5.176 b=5.176 c=8.123 alpha=108.58 beta=108.58 gamma=90.00
Element x y z (fractional)
Nd  0.730  0.730  0.460
Nd  0.270  0.270  0.540
Sm  0.000  0.000  0.000
Ag  0.500  0.500  0.000
Ag  0.885  0.385  0.770
Ag  0.385  0.885  0.770
Ag  0.115  0.615  0.230
Ag  0.615  0.115  0.230

- formation enthalpy at 0 K (eV/atom) = -0.202
- calculated total energy (eV per atom) = -3.766

=====

(4)
# Ti3BiAu

An optimized crystal structure of Ti3BiAu (PBE, the Alexandria database).

Unit cell a=5.089 b=5.089 c=5.089 alpha=90.00 beta=90.00 gamma=90.00
Element x y z (fractional)
Au  0.500  0.500  0.500
Bi  0.000  0.000  0.000
Ti  0.000  0.500  0.000
Ti  0.000  0.000  0.500
Ti  0.500  0.000  0.000

- energy above the lowest structure with this stoichiometry (eV per atom) = 0.7007
- formation enthalpy at 0 K (eV/atom) = 1.159
- calculated total energy (eV per atom) = -5.010

=====

> calculated total energy of number 3 (Nd2SmAg5)?

-3.766 eV per atom